Below is a geometry-optimized AgHg2Cl structure, with properties calculated at the PBEsol level.

DFT total energy ... -1.676 eV/atom
Offset from the most stable computed form ... 0.112 eV/atom

Lattice parameters (Å, degrees): 3.9921 3.9921 5.5215 90.00 90.00 90.00
With the nearest neighbours (Å) after each atom.
Positions (direct):
Hg  0.0000  0.5000  0.0000  4 Hg 2.82
Cl  0.0000  0.0000  0.5000  4 Ag 2.82
Ag  0.5000  0.5000  0.5000  4 Cl 2.82
Hg  0.5000  0.0000  0.0000  4 Hg 2.82